[1]
DFT (PBE) results for an optimized crystal structure of GaCu2I6.

Calculated values
total magnetic moment: 0.000 μB per formula unit
electronic total energy: -46.02 eV/cell
space-group type: C2/c, No. 15

POSCAR file:
```
GaCu2I6
1.0
7.8417 -7.4442 0.0000
7.8417 7.4442 0.0000
-3.2916 0.0000 6.4356
Ga Cu I
2 4 12
Direct
0.2407 0.7593 0.7500 Ga
0.7593 0.2407 0.2500 Ga
0.1866 0.3350 0.4420 Cu
0.3350 0.1866 0.9420 Cu
0.6650 0.8134 0.0580 Cu
0.8134 0.6650 0.5580 Cu
0.0388 0.7536 0.8686 I
0.1835 0.3494 0.7982 I
0.2407 0.5653 0.4202 I
0.2464 0.9612 0.6314 I
0.3494 0.1835 0.2982 I
0.4347 0.7593 0.0798 I
0.5653 0.2407 0.9202 I
0.6506 0.8165 0.7018 I
0.7536 0.0388 0.3686 I
0.7593 0.4347 0.5798 I
0.8165 0.6506 0.2018 I
0.9612 0.2464 0.1314 I
```

---

[2]
DFT (PBE) results for an optimized crystal structure of Ga2CuI.

Calculated values
total magnetic moment: 0.000 μB per formula unit
electronic total energy: -44.99 eV/cell
space-group type: I-42d, No. 122
excess energy over the best structure of this formula in the dataset: 0 meV per atom

POSCAR file:
```
Ga2CuI
1.0
5.7752 0.0000 0.0000
0.0000 5.7752 0.0000
0.0000 0.0000 14.2393
Ga Cu I
8 4 4
Direct
0.1229 0.2500 0.1250 Ga
0.2500 0.6229 0.3750 Ga
0.2500 0.8771 0.8750 Ga
0.3771 0.2500 0.6250 Ga
0.6229 0.7500 0.6250 Ga
0.7500 0.1229 0.8750 Ga
0.7500 0.3771 0.3750 Ga
0.8771 0.7500 0.1250 Ga
0.0000 0.0000 0.0000 Cu
0.0000 0.5000 0.2500 Cu
0.5000 0.0000 0.7500 Cu
0.5000 0.5000 0.5000 Cu
0.0000 0.0000 0.5000 I
0.0000 0.5000 0.7500 I
0.5000 0.0000 0.2500 I
0.5000 0.5000 0.0000 I
```

---

[3]
DFT (PBE) results for an optimized crystal structure of GaCu2I4.

Calculated values
total magnetic moment: 0.000 μB per formula unit
electronic total energy: -18.88 eV/cell
space-group type: P-42m, No. 111

POSCAR file:
```
GaCu2I4
1.0
6.1269 0.0000 0.0000
0.0000 6.1269 0.0000
0.0000 0.0000 6.5006
Ga Cu I
1 2 4
Direct
0.0000 0.0000 0.0000 Ga
0.0000 0.5000 0.5000 Cu
0.5000 0.0000 0.5000 Cu
0.2642 0.2642 0.2712 I
0.2642 0.7358 0.7288 I
0.7358 0.2642 0.7288 I
0.7358 0.7358 0.2712 I
```

---

[4]
DFT (PBE) results for an optimized crystal structure of Ga2Cu2I7.

Calculated values
total magnetic moment: 0.000 μB per formula unit
electronic total energy: -56.30 eV/cell
space-group type: C2/c, No. 15

POSCAR file:
```
Ga2Cu2I7
1.0
5.6557 -5.8343 0.0000
5.6557 5.8343 0.0000
-5.5487 0.0000 14.3591
Ga Cu I
4 4 14
Direct
0.0421 0.4557 0.3000 Ga
0.4557 0.0421 0.8000 Ga
0.5443 0.9579 0.2000 Ga
0.9579 0.5443 0.7000 Ga
0.0197 0.7458 0.1338 Cu
0.2542 0.9803 0.3662 Cu
0.7458 0.0197 0.6338 Cu
0.9803 0.2542 0.8662 Cu
0.0341 0.7881 0.3937 I
0.1424 0.4661 0.1484 I
0.2119 0.9659 0.1063 I
0.2724 0.3067 0.4072 I
0.2716 0.7284 0.7500 I
0.3067 0.2724 0.9072 I
0.4661 0.1424 0.6484 I
0.5339 0.8576 0.3516 I
0.6933 0.7276 0.0928 I
0.7284 0.2716 0.2500 I
0.7276 0.6933 0.5928 I
0.7881 0.0341 0.8937 I
0.8576 0.5339 0.8516 I
0.9659 0.2119 0.6063 I
```

---

[5]
DFT (PBE) results for an optimized crystal structure of GaCuI.

Calculated values
total magnetic moment: 0.000 μB per formula unit
electronic total energy: -34.51 eV/cell
space-group type: C2/m, No. 12

POSCAR file:
```
GaCuI
1.0
5.0836 0.0000 0.0000
0.0000 5.8253 0.0000
-2.1851 0.0000 10.4151
Ga Cu I
4 4 4
Direct
0.0719 0.0000 0.3754 Ga
0.4281 0.5000 0.6246 Ga
0.5719 0.5000 0.3754 Ga
0.9281 0.0000 0.6246 Ga
0.0924 0.5000 0.3995 Cu
0.4076 0.0000 0.6005 Cu
0.5924 0.0000 0.3995 Cu
0.9076 0.5000 0.6005 Cu
0.1737 0.5000 0.8374 I
0.3263 0.0000 0.1626 I
0.6737 0.0000 0.8374 I
0.8263 0.5000 0.1626 I
```

---

[6]
DFT (PBE) results for an optimized crystal structure of GaCuI5.

Calculated values
total magnetic moment: 0.000 μB per formula unit
electronic total energy: -67.27 eV/cell
space-group type: Pnma, No. 62

POSCAR file:
```
GaCuI5
1.0
12.0830 0.0000 0.0000
0.0000 7.7694 0.0000
0.0000 0.0000 15.4986
Ga Cu I
4 4 20
Direct
0.1632 0.2500 0.1670 Ga
0.3368 0.7500 0.6670 Ga
0.6632 0.2500 0.3330 Ga
0.8368 0.7500 0.8330 Ga
0.2322 0.7500 0.1977 Cu
0.2678 0.2500 0.6977 Cu
0.7322 0.7500 0.3023 Cu
0.7678 0.2500 0.8023 Cu
0.0149 0.7500 0.9163 I
0.1606 0.7500 0.5728 I
0.1678 0.2500 0.5629 I
0.1708 0.0037 0.2862 I
0.1708 0.4963 0.2862 I
0.3292 0.5037 0.7862 I
0.3292 0.9963 0.7862 I
0.3322 0.7500 0.0629 I
0.3394 0.2500 0.0728 I
0.4851 0.2500 0.4163 I
0.5149 0.7500 0.5837 I
0.6606 0.7500 0.9272 I
0.6678 0.2500 0.9371 I
0.6708 0.0037 0.2138 I
0.6708 0.4963 0.2138 I
0.8292 0.5037 0.7138 I
0.8292 0.9963 0.7138 I
0.8322 0.7500 0.4371 I
0.8394 0.2500 0.4272 I
0.9851 0.2500 0.0837 I
```

---

[7]
DFT (PBE) results for an optimized crystal structure of GaCuI6.

Calculated values
total magnetic moment: 0.000 μB per formula unit
electronic total energy: -17.42 eV/cell
space-group type: P-1, No. 2
excess energy over the best structure of this formula in the dataset: 23 meV per atom

POSCAR file:
```
GaCuI6
1.0
6.3069 0.0000 0.0000
0.6006 7.6290 0.0000
1.1477 3.2138 7.0825
Ga Cu I
1 1 6
Direct
0.0000 0.0000 0.0000 Ga
0.5000 0.5000 0.0000 Cu
0.1097 0.8173 0.3376 I
0.2441 0.3602 0.8595 I
0.3601 0.8368 0.8049 I
0.6399 0.1632 0.1951 I
0.7559 0.6398 0.1405 I
0.8903 0.1827 0.6624 I
```

---

[8]
DFT (PBE) results for an optimized crystal structure of GaCuI3.

Calculated values
total magnetic moment: 0.000 μB per formula unit
electronic total energy: -12.02 eV/cell
space-group type: Pm-3m, No. 221
excess energy over the best structure of this formula in the dataset: 166 meV per atom

POSCAR file:
```
GaCuI3
1.0
5.4845 0.0000 0.0000
0.0000 5.4845 0.0000
0.0000 0.0000 5.4845
Ga Cu I
1 1 3
Direct
0.0000 0.0000 0.0000 Ga
0.5000 0.5000 0.5000 Cu
0.0000 0.5000 0.5000 I
0.5000 0.0000 0.5000 I
0.5000 0.5000 0.0000 I
```

---

[9]
DFT (PBE) results for an optimized crystal structure of Ga2CuI.

Calculated values
total magnetic moment: 0.000 μB per formula unit
electronic total energy: -40.34 eV/cell
space-group type: Fm-3m, No. 225
excess energy over the best structure of this formula in the dataset: 291 meV per atom

POSCAR file:
```
Ga2CuI
1.0
7.3838 0.0000 0.0000
0.0000 7.3838 0.0000
0.0000 0.0000 7.3838
Ga Cu I
8 4 4
Direct
0.2500 0.2500 0.2500 Ga
0.2500 0.2500 0.7500 Ga
0.2500 0.7500 0.2500 Ga
0.2500 0.7500 0.7500 Ga
0.7500 0.2500 0.2500 Ga
0.7500 0.2500 0.7500 Ga
0.7500 0.7500 0.2500 Ga
0.7500 0.7500 0.7500 Ga
0.0000 0.0000 0.0000 Cu
0.0000 0.5000 0.5000 Cu
0.5000 0.0000 0.5000 Cu
0.5000 0.5000 0.0000 Cu
0.0000 0.0000 0.5000 I
0.0000 0.5000 0.0000 I
0.5000 0.0000 0.0000 I
0.5000 0.5000 0.5000 I
```

---

[10]
DFT (PBE) results for an optimized crystal structure of GaCuI3.

Calculated values
total magnetic moment: 0.000 μB per formula unit
electronic total energy: -25.70 eV/cell
space-group type: Cmc2_1, No. 36
excess energy over the best structure of this formula in the dataset: 0 meV per atom

POSCAR file:
```
GaCuI3
1.0
2.0824 -11.3513 0.0000
2.0824 11.3513 0.0000
0.0000 0.0000 7.7432
Ga Cu I
2 2 6
Direct
0.1718 0.8282 0.5000 Ga
0.8282 0.1718 0.0000 Ga
0.3685 0.6315 0.1843 Cu
0.6315 0.3685 0.6843 Cu
0.0885 0.9115 0.8446 I
0.2499 0.7501 0.1984 I
0.4063 0.5937 0.8534 I
0.5937 0.4063 0.3534 I
0.7501 0.2499 0.6984 I
0.9115 0.0885 0.3446 I
```

---

[11]
DFT (PBE) results for an optimized crystal structure of La4GaCuI2.

Calculated values
total magnetic moment: 0.000 μB per formula unit
electronic total energy: -35.36 eV/cell
space-group type: P2/m, No. 10

POSCAR file:
```
La4GaCuI2
1.0
7.5946 0.0000 0.0000
0.0000 4.4498 0.0000
-2.5624 0.0000 7.7464
La Ga Cu I
4 1 1 2
Direct
0.2343 0.0000 0.2122 La
0.2592 0.5000 0.7850 La
0.7408 0.5000 0.2150 La
0.7657 0.0000 0.7878 La
0.5000 0.0000 0.0000 Ga
0.0000 0.5000 0.0000 Cu
0.0000 0.0000 0.5000 I
0.5000 0.5000 0.5000 I
```

---

[12]
DFT (PBE) results for an optimized crystal structure of LaGa2CuI.

Calculated values
total magnetic moment: 0.000 μB per formula unit
electronic total energy: -14.17 eV/cell
space-group type: P4/mmm, No. 123

POSCAR file:
```
LaGa2CuI
1.0
5.8036 0.0000 0.0000
0.0000 5.8036 0.0000
0.0000 0.0000 4.9418
La Ga Cu I
1 2 1 1
Direct
0.0000 0.0000 0.0000 La
0.0000 0.5000 0.5000 Ga
0.5000 0.0000 0.5000 Ga
0.5000 0.5000 0.0000 Cu
0.5000 0.5000 0.5000 I
```